1.
This record from Alexandria via LeMat-Bulk describes CsNCl2 after structural relaxation. The functional is GGA-PBE.

Unit cell a=5.1621 b=5.1621 c=16.2988 alpha=90.00 beta=90.00 gamma=120.00
Space group R-3m (No. 166, hexagonal axes)
Asymmetric unit:
Cs1 0.0000 0.0000 0.0000
N1 0.0000 0.0000 0.5000
Cl1 0.0000 0.0000 0.2136

Computed properties:
The value obtained for the total moment is 6.0 Bohr magnetons per cell. The calculation puts the total energy at -0.0995 hartree per atom. The calculation puts the formation energy (no corrections) at 0.5111 eV per atom.

=====

2.
This record from Alexandria via LeMat-Bulk describes CsNCl3 after structural relaxation. The functional is GGA-PBE.

Unit cell a=4.7997 b=4.7997 c=4.7997 alpha=90.00 beta=90.00 gamma=90.00
Space group Pm-3m (No. 221)
Asymmetric unit:
Cs1 0.0000 0.0000 0.0000
N1 0.5000 0.5000 0.5000
Cl1 0.0000 0.5000 0.5000

Computed properties:
The value obtained for the total moment is 0.0 Bohr magnetons per cell. The calculation puts the total energy at -0.1030 hartree per atom. The calculation puts the formation energy (no corrections) at 0.1397 eV per atom.

=====

3.
This record from Alexandria via LeMat-Bulk describes CsNCl2 after structural relaxation. The functional is GGA-PBE.

Unit cell a=6.7060 b=6.7060 c=9.5643 alpha=90.00 beta=90.00 gamma=90.00
Space group I4_1/amd (No. 141, origin choice 2)
Asymmetric unit:
Cs1 0.0000 0.2500 0.3750
N1 0.0000 0.2500 0.8750
Cl1 0.0000 0.0000 0.0000

Computed properties:
The value obtained for the total moment is 0.0 Bohr magnetons per cell. The calculation puts the total energy at -0.1162 hartree per atom. The calculation puts the formation energy (no corrections) at 0.0552 eV per atom.

=====

4.
This record from Alexandria via LeMat-Bulk describes Cs2NaNCl6 after structural relaxation. The functional is GGA-PBE.

Unit cell a=10.3021 b=10.3021 c=10.3021 alpha=90.00 beta=90.00 gamma=90.00
Space group Fm-3m (No. 225)
Asymmetric unit:
Cs1 0.2500 0.2500 0.2500
Na1 0.0000 0.0000 0.0000
N1 0.0000 0.0000 0.5000
Cl1 0.0000 0.0000 0.2786

Computed properties:
The value obtained for the total moment is 0.0 Bohr magnetons per cell. The calculation puts the total energy at -0.1080 hartree per atom. The calculation puts the formation energy (no corrections) at -0.6950 eV per atom.